The following is a DFT calculation (SCAN) of a crystal of KCu2P relaxed with PBEsol.

```
KCu2P
1.0
4.679 0.000 0.000
-2.339 3.810 0.407
0.000 2.446 3.988
Cu P K
2 1 1
Direct
0.000 0.000 0.000
0.250 0.500 0.250
0.750 0.500 0.750
0.500 0.000 0.500
```

Calculated values
Fermi-level density of states in states/eV/cell: 1.368
Formation energy from the elements in eV per atom: 0.6310



The following is a DFT calculation (SCAN) of a crystal of Sr2YNi relaxed with PBEsol.

```
Sr2YNi
1.0
3.692 0.000 0.000
0.000 5.923 0.000
-1.846 -2.962 5.805
Sr Y Ni
2 1 1
Direct
0.936 0.936 0.873
0.754 0.254 0.508
0.577 0.577 0.153
0.233 0.733 0.466
```

Calculated values
Distance to the lowest polymorph of the same formula in meV/atom: 0
Fermi-level density of states in states/eV/cell: 4.018
Formation energy from the elements in eV per atom: 0.1037



The following is a DFT calculation (SCAN) of a crystal of Ta13W3 relaxed with PBEsol.

```
Ta13W3
1.0
-0.016 -5.953 2.600
6.264 -0.724 -1.620
1.797 2.501 5.737
Ta W
13 3
Direct
0.752 0.003 0.497
0.000 0.754 0.754
0.500 0.755 0.245
0.248 0.497 0.003
0.000 0.245 0.755
0.752 0.497 0.003
0.500 0.246 0.246
0.000 0.755 0.245
0.500 0.245 0.755
0.752 0.498 0.498
0.248 0.498 0.498
0.500 0.753 0.753
0.248 0.003 0.497
0.248 0.001 0.001
0.000 0.247 0.247
0.752 0.001 0.001
```

Calculated values
Fermi-level density of states in states/eV/cell: 18.838
Formation energy from the elements in eV per atom: -0.0313



The following is a DFT calculation (SCAN) of a crystal of Ba2ZrAs relaxed with PBEsol.

```
Ba2ZrAs
1.0
4.823 0.000 0.000
0.000 4.823 0.000
-2.412 -2.412 4.916
As Ba Zr
1 2 1
Direct
0.250 0.750 0.500
0.000 0.000 0.000
0.750 0.250 0.500
0.500 0.500 0.000
```

Calculated values
Fermi-level density of states in states/eV/cell: 4.040
Formation energy from the elements in eV per atom: 0.1695



The following is a DFT calculation (SCAN) of a crystal of TlFe2Os relaxed with PBEsol.

```
TlFe2Os
1.0
-0.519 2.587 0.788
-2.279 -1.477 -0.454
-0.015 -2.518 8.260
Tl Os Fe
1 1 2
Direct
0.500 0.500 0.000
0.500 0.500 0.500
0.000 0.000 0.729
0.000 0.000 0.271
```

Calculated values
Distance to the lowest polymorph of the same formula in meV/atom: 68
Fermi-level density of states in states/eV/cell: 3.353
Formation energy from the elements in eV per atom: 0.6109



The following is a DFT calculation (SCAN) of a crystal of Tc3SeO relaxed with PBEsol.

```
Tc3SeO
1.0
4.491 0.000 0.000
0.000 4.491 0.000
0.000 0.000 4.491
Tc O Se
3 1 1
Direct
0.000 0.000 0.500
0.500 0.000 0.000
0.000 0.500 0.000
0.500 0.500 0.500
0.000 0.000 0.000
```

Calculated values
Energy relative to the elements, uncorrected in eV/f.u.: 9.203
Fermi-level density of states in states/eV/cell: 5.021